Model i:
Material: Al5Te3
Method: DFT, GGA-PBE
State: optimized geometry

a b c (Å): 8.6363 8.7161 8.5225
angles (deg): 90.29 103.71 139.21
With the nearest neighbours (Å) after each atom.
Fractional positions:
Te 0.5306 0.5758 0.0441  3 Al 2.80-2.93, 2 Te 3.02
Te 0.0306 0.0757 0.0440  3 Al 2.80-2.93, 2 Te 3.02
Te 0.3091 0.3086 0.5500  3 Al 2.78-2.90, 2 Te 3.02
Te 0.8090 0.8086 0.5500  3 Al 2.78-2.90, 2 Te 3.02
Te 0.2593 0.8040 0.9971  3 Al 2.79-2.92, 2 Te 3.02
Te 0.7593 0.3040 0.9971  3 Al 2.79-2.92, 2 Te 3.02
Al 0.2803 0.7492 0.4685  10 Al 2.72-3.02
Al 0.7804 0.2493 0.4686  10 Al 2.72-3.02
Al 0.7588 0.0381 0.7352  3 Te 2.88-3.21, 5 Al 2.88-3.07
Al 0.3012 0.0351 0.2765  2 Te 2.88-2.93, 5 Al 2.89-3.02
Al 0.8012 0.5350 0.2764  2 Te 2.88-2.93, 5 Al 2.89-3.02
Al 0.2588 0.5382 0.7352  3 Te 2.88-3.21, 5 Al 2.88-3.07
Al 0.5245 0.1832 0.6525  5 Al 2.72-3.02, 2 Te 2.78-2.79
Al 0.5328 0.8060 0.2762  4 Al 2.78-3.02, 3 Te 2.80-2.92
Al 0.0328 0.3059 0.2762  4 Al 2.78-3.02, 3 Te 2.80-2.92
Al 0.0244 0.6832 0.6525  5 Al 2.72-3.02, 2 Te 2.78-2.79

Computed properties:
For the density of states at the Fermi level, the calculation gives 5.09 states/eV per cell. The total magnetization is 0.000 Bohr magnetons per cell. As for the space-group type: P1. As for the crystal system: triclinic.

Model ii:
Material: Al5Te3
Method: DFT, GGA-PBE
State: optimized geometry

a b c (Å): 5.9107 5.9107 5.4614
angles (deg): 90.00 90.00 104.99
With the nearest neighbours (Å) after each atom.
Fractional positions:
Al 0.0000 0.0000 0.0000  4 Al 2.96
Al 0.0000 0.5000 0.0000  6 Te 2.96-3.30, 2 Al 2.96
Al 0.5000 0.0000 0.0000  6 Te 2.96-3.30, 2 Al 2.96
Al 0.3035 0.3035 0.5000  1 Al 2.83, 6 Te 2.90-3.12
Al 0.6965 0.6965 0.5000  1 Al 2.83, 6 Te 2.90-3.12
Te 0.5000 0.5000 0.0000  8 Al 2.96-3.08
Te 0.7966 0.2034 0.5000  4 Al 2.90-3.12
Te 0.2034 0.7966 0.5000  4 Al 2.90-3.12

Computed properties:
For the density of states at the Fermi level, the calculation gives 2.10 states/eV per cell. The total magnetization is 0.000 Bohr magnetons per cell. As for the space-group type: Cmmm. As for the crystal system: orthorhombic.

Ranked by calculated energy, most stable first: model i, model ii.

Model i:
Material: TiAlTe3
Method: DFT, GGA-PBE
State: optimized geometry

a b c (Å): 6.7239 7.4608 12.1860
angles (deg): 90.00 96.51 90.00
With the nearest neighbours (Å) after each atom.
Fractional positions:
Ti 0.9342 0.6613 0.2494  6 Te 2.82-2.97
Ti 0.5658 0.1613 0.2506  6 Te 2.82-2.97
Ti 0.0658 0.3387 0.7506  6 Te 2.82-2.97
Ti 0.4342 0.8387 0.7494  6 Te 2.82-2.97
Al 0.4652 0.6062 0.1025  4 Te 2.58-2.74
Al 0.0348 0.1062 0.3975  4 Te 2.58-2.74
Al 0.5348 0.3938 0.8975  4 Te 2.58-2.74
Al 0.9652 0.8938 0.6025  4 Te 2.58-2.74
Te 0.1889 0.6102 0.6048  1 Al 2.59, 2 Ti 2.84-2.88
Te 0.3111 0.1102 0.8952  1 Al 2.59, 2 Ti 2.84-2.88
Te 0.8111 0.3898 0.3952  1 Al 2.59, 2 Ti 2.84-2.88
Te 0.6889 0.8898 0.1048  1 Al 2.59, 2 Ti 2.84-2.88
Te 0.8024 0.0246 0.7666  1 Al 2.58, 1 Ti 2.82
Te 0.6976 0.5246 0.7334  1 Al 2.58, 1 Ti 2.82
Te 0.1976 0.9754 0.2334  1 Al 2.58, 1 Ti 2.82
Te 0.3024 0.4754 0.2666  1 Al 2.58, 1 Ti 2.82
Te 0.7261 0.8735 0.4050  2 Al 2.72-2.74, 2 Ti 2.94-2.97
Te 0.7739 0.3735 0.0950  2 Al 2.72-2.74, 2 Ti 2.94-2.97
Te 0.2739 0.1265 0.5950  2 Al 2.72-2.74, 2 Ti 2.94-2.97
Te 0.2261 0.6265 0.9050  2 Al 2.72-2.74, 2 Ti 2.94-2.97

Computed properties:
For the density of states at the Fermi level, the calculation gives 13.21 states/eV per cell. The total magnetization is 4.004 Bohr magnetons per cell. As for the space-group type: P2_1/c. As for the crystal system: monoclinic.

Model ii:
Material: TiAlTe3
Method: DFT, GGA-PBE
State: optimized geometry

a b c (Å): 5.3777 5.3777 5.3777
angles (deg): 90.00 90.00 90.00
With the nearest neighbours (Å) after each atom.
Fractional positions:
Te 0.0000 0.5000 0.0000  2 Ti 2.69
Te 0.0000 0.0000 0.5000  2 Ti 2.69
Te 0.5000 0.0000 0.0000  2 Ti 2.69
Al 0.5000 0.5000 0.5000  12 Te 3.80
Ti 0.0000 0.0000 0.0000  6 Te 2.69

Computed properties:
For the density of states at the Fermi level, the calculation gives 1.96 states/eV per cell. The total magnetization is 0.000 Bohr magnetons per cell. As for the space-group type: Pm-3m. As for the crystal system: cubic.

Model iii:
Material: TiAlTe3
Method: DFT, GGA-PBE
State: optimized geometry

a b c (Å): 5.2613 5.2613 5.2613
angles (deg): 90.00 90.00 90.00
With the nearest neighbours (Å) after each atom.
Fractional positions:
Te 0.0000 0.5000 0.0000  2 Al 2.63
Te 0.0000 0.0000 0.5000  2 Al 2.63
Te 0.5000 0.0000 0.0000  2 Al 2.63
Al 0.0000 0.0000 0.0000  6 Te 2.63
Ti 0.5000 0.5000 0.5000  12 Te 3.72

Computed properties:
For the density of states at the Fermi level, the calculation gives 9.71 states/eV per cell. The total magnetization is 0.040 Bohr magnetons per cell. As for the space-group type: Pm-3m. As for the crystal system: cubic.

Ranked by calculated energy, most stable first: model i, model ii, model iii.

Model i:
Material: TiAl2Te
Method: DFT, GGA-PBE
State: optimized geometry

a b c (Å): 7.7801 7.7801 6.1651
angles (deg): 50.88 50.88 90.00
With the nearest neighbours (Å) after each atom.
Fractional positions:
Te 0.0000 0.0000 0.0000  2 Ti 2.78, 4 Al 2.87
Te 0.7500 0.2500 0.5000  2 Ti 2.78, 4 Al 2.87
Al 0.6186 0.1250 0.2500  2 Al 2.78, 2 Ti 2.80, 2 Te 2.87
Al 0.1314 0.6250 0.2500  2 Al 2.78, 2 Ti 2.80, 2 Te 2.87
Al 0.3750 0.3814 0.7500  2 Al 2.78, 2 Ti 2.80, 2 Te 2.87
Al 0.8750 0.8686 0.7500  2 Al 2.78, 2 Ti 2.80, 2 Te 2.87
Ti 0.5000 0.5000 0.0000  2 Te 2.78, 4 Al 2.80
Ti 0.2500 0.7500 0.5000  2 Te 2.78, 4 Al 2.80

Computed properties:
For the density of states at the Fermi level, the calculation gives 7.48 states/eV per cell. The total magnetization is 0.893 Bohr magnetons per cell. As for the space-group type: I-42d. As for the crystal system: tetragonal.

Model ii:
Material: TiAl2Te
Method: DFT, GGA-PBE
State: optimized geometry

a b c (Å): 4.8615 4.8615 4.8615
angles (deg): 60.00 60.00 60.00
With the nearest neighbours (Å) after each atom.
Fractional positions:
Te 0.5000 0.5000 0.5000  8 Al 2.98
Al 0.2500 0.2500 0.2500  4 Te 2.98, 4 Ti 2.98
Al 0.7500 0.7500 0.7500  4 Ti 2.98, 4 Te 2.98
Ti 0.0000 0.0000 0.0000  8 Al 2.98

Computed properties:
For the density of states at the Fermi level, the calculation gives 3.66 states/eV per cell. The total magnetization is 1.879 Bohr magnetons per cell. As for the space-group type: Fm-3m. As for the crystal system: cubic.

Ranked by calculated energy, most stable first: model i, model ii.

Model i:
Material: Ti3AlTe
Method: DFT, GGA-PBE
State: optimized geometry

a b c (Å): 4.7430 4.7430 4.7430
angles (deg): 90.00 90.00 90.00
With the nearest neighbours (Å) after each atom.
Fractional positions:
Te 0.5000 0.5000 0.5000  12 Ti 3.35
Al 0.0000 0.0000 0.0000  6 Ti 2.37
Ti 0.0000 0.5000 0.0000  2 Al 2.37
Ti 0.0000 0.0000 0.5000  2 Al 2.37
Ti 0.5000 0.0000 0.0000  2 Al 2.37

Computed properties:
For the density of states at the Fermi level, the calculation gives 5.78 states/eV per cell. The total magnetization is 0.000 Bohr magnetons per cell. As for the space-group type: Pm-3m. As for the crystal system: cubic.

Model ii:
Material: Ti3AlTe
Method: DFT, GGA-PBE
State: optimized geometry

a b c (Å): 4.9467 4.9467 4.9467
angles (deg): 90.00 90.00 90.00
With the nearest neighbours (Å) after each atom.
Fractional positions:
Te 0.0000 0.0000 0.0000  6 Ti 2.47
Al 0.5000 0.5000 0.5000  12 Ti 3.50
Ti 0.0000 0.5000 0.0000  2 Te 2.47
Ti 0.0000 0.0000 0.5000  2 Te 2.47
Ti 0.5000 0.0000 0.0000  2 Te 2.47

Computed properties:
For the density of states at the Fermi level, the calculation gives 7.01 states/eV per cell. The total magnetization is 0.957 Bohr magnetons per cell. As for the space-group type: Pm-3m. As for the crystal system: cubic.

Ranked by calculated energy, most stable first: model i, model ii.

Model i:
Material: TiAl2Te2
Method: DFT, GGA-PBE
State: optimized geometry

a b c (Å): 3.6418 3.6418 9.0863
angles (deg): 78.44 78.44 90.00
With the nearest neighbours (Å) after each atom.
Fractional positions:
Te 0.4063 0.4063 0.1874  4 Ti 3.05, 1 Te 3.27, 4 Al 3.28
Te 0.5937 0.5937 0.8126  4 Ti 3.05, 1 Te 3.27, 4 Al 3.28
Al 0.7500 0.2500 0.5000  4 Al 2.58
Al 0.2500 0.7500 0.5000  4 Al 2.58
Ti 0.0000 0.0000 0.0000  8 Te 3.05

Computed properties:
For the density of states at the Fermi level, the calculation gives 3.06 states/eV per cell. The total magnetization is 0.829 Bohr magnetons per cell. As for the space-group type: I4/mmm. As for the crystal system: tetragonal.

Model ii:
Material: TiAl2Te2
Method: DFT, GGA-PBE
State: optimized geometry

a b c (Å): 7.5190 7.5190 4.2053
angles (deg): 90.00 90.00 90.00
With the nearest neighbours (Å) after each atom.
Fractional positions:
Te 0.3160 0.8160 0.0000  2 Ti 2.75, 2 Al 2.89
Te 0.8160 0.6840 0.0000  2 Ti 2.75, 2 Al 2.89
Te 0.6840 0.1840 0.0000  2 Ti 2.75, 2 Al 2.89
Te 0.1840 0.3160 0.0000  2 Ti 2.75, 2 Al 2.89
Al 0.1301 0.6301 0.5000  1 Al 2.77, 2 Te 2.89
Al 0.6301 0.8699 0.5000  1 Al 2.77, 2 Te 2.89
Al 0.8699 0.3699 0.5000  1 Al 2.77, 2 Te 2.89
Al 0.3699 0.1301 0.5000  1 Al 2.77, 2 Te 2.89
Ti 0.0000 0.0000 0.0000  4 Te 2.75
Ti 0.5000 0.5000 0.0000  4 Te 2.75

Computed properties:
For the density of states at the Fermi level, the calculation gives 9.78 states/eV per cell. The total magnetization is 1.889 Bohr magnetons per cell. As for the space-group type: P4/mbm. As for the crystal system: tetragonal.

Ranked by calculated energy, most stable first: model i, model ii.

Model i:
Material: AlTl2Te
Method: DFT, GGA-PBE
State: optimized geometry

a b c (Å): 5.5451 5.5451 5.5451
angles (deg): 60.00 60.00 60.00
With the nearest neighbours (Å) after each atom.
Fractional positions:
Tl 0.2500 0.2500 0.2500  4 Al 3.40, 4 Te 3.40
Tl 0.7500 0.7500 0.7500  4 Al 3.40, 4 Te 3.40
Te 0.5000 0.5000 0.5000  8 Tl 3.40
Al 0.0000 0.0000 0.0000  8 Tl 3.40

Computed properties:
For the density of states at the Fermi level, the calculation gives 4.09 states/eV per cell. The total magnetization is 0.000 Bohr magnetons per cell. As for the space-group type: Fm-3m. As for the crystal system: cubic.

Model ii:
Material: AlTl2Te
Method: DFT, GGA-PBE
State: optimized geometry

a b c (Å): 4.0545 4.5035 7.1853
angles (deg): 71.14 90.00 90.00
With the nearest neighbours (Å) after each atom.
Fractional positions:
Tl 0.0000 0.9432 0.9854  1 Al 3.20, 4 Te 3.47
Tl 0.5000 0.2769 0.3216  4 Al 3.16-3.17
Te 0.5000 0.5708 0.7374  2 Al 2.79
Al 0.0000 0.7090 0.4556  2 Te 2.79

Computed properties:
For the density of states at the Fermi level, the calculation gives 1.13 states/eV per cell. The total magnetization is 0.000 Bohr magnetons per cell. As for the space-group type: Pm. As for the crystal system: monoclinic.

Ranked by calculated energy, most stable first: model ii, model i.